# PmGa3NiAu | Alexandria via LeMat-Bulk | PBE | optimized geometry
data_PmGa3NiAu
_cell_length_a 5.9701
_cell_length_b 12.3362
_cell_length_c 6.1411
_cell_angle_alpha 90.00
_cell_angle_beta 90.00
_cell_angle_gamma 90.00
_space_group_name_H-M_alt 'C m c m'
_space_group_IT_number 63
_space_group_name_Hall '-C 2c 2'
loop_
_atom_site_label
_atom_site_fract_x
_atom_site_fract_y
_atom_site_fract_z
Pm1 0.0000 0.2213 0.2500
Ga1 0.0000 0.3648 0.7500
Ga2 0.2161 0.0000 0.0000
Ni1 0.0000 0.4370 0.2500
Au1 0.0000 0.1563 0.7500
# Calculated density   9.0 g cm⁻³
# DFT formation energy   -0.38 eV/atom
# Crystal system   orthorhombic
# M_tot   0.0 μB/f.u.

# AcEu2F | Alexandria via LeMat-Bulk | PBE | optimized geometry
data_AcEu2F
_cell_length_a 3.6465
_cell_length_b 3.6465
_cell_length_c 9.7353
_cell_angle_alpha 90.00
_cell_angle_beta 90.00
_cell_angle_gamma 90.00
_space_group_name_H-M_alt 'P 4/m m m'
_space_group_IT_number 123
_space_group_name_Hall '-P 4 2'
loop_
_atom_site_label
_atom_site_fract_x
_atom_site_fract_y
_atom_site_fract_z
Ac1 0.0000 0.0000 0.0000
Eu1 0.5000 0.5000 0.3120
F1 0.0000 0.0000 0.5000
# Calculated density   7.1 g cm⁻³
# Formation energy without anion corrections   -94 kJ per mole of atoms
# Crystal system   tetragonal
# M_tot   14.5 μB/f.u.

# InSn2Ge | Alexandria via LeMat-Bulk | PBE | optimized geometry
data_InSn2Ge
_cell_length_a 6.5269
_cell_length_b 6.5269
_cell_length_c 12.4627
_cell_angle_alpha 90.00
_cell_angle_beta 90.00
_cell_angle_gamma 90.00
_space_group_name_H-M_alt 'I -4 2 d'
_space_group_IT_number 122
_space_group_name_Hall 'I -4 2bw'
loop_
_atom_site_label
_atom_site_fract_x
_atom_site_fract_y
_atom_site_fract_z
In1 0.0000 0.0000 0.0000
Sn1 0.2258 0.2500 0.6250
Ge1 0.0000 0.0000 0.5000
# Calculated density   5.3 g cm⁻³
# DFT formation energy   0.12 eV/atom
# Crystal system   tetragonal
# M_tot   0.0 μB/f.u.

# NaPmTm | Alexandria via LeMat-Bulk | PBE | optimized geometry
data_NaPmTm
_cell_length_a 4.3635
_cell_length_b 4.3635
_cell_length_c 11.7090
_cell_angle_alpha 90.00
_cell_angle_beta 90.00
_cell_angle_gamma 90.00
_space_group_name_H-M_alt 'P 4/n m m'
_space_group_IT_number 129
loop_
_space_group_symop_operation_xyz
'x,y,z'
'-x,-y,-z'
'-y+1/2,x,z'
'y+1/2,-x,-z'
'-x+1/2,-y+1/2,z'
'x+1/2,y+1/2,-z'
'y,-x+1/2,z'
'-y,x+1/2,-z'
'x+1/2,-y,-z'
'-x+1/2,y,z'
'-y,-x,-z'
'y,x,z'
'-x,y+1/2,-z'
'x,-y+1/2,z'
'y+1/2,x+1/2,-z'
'-y+1/2,-x+1/2,z'
loop_
_atom_site_label
_atom_site_fract_x
_atom_site_fract_y
_atom_site_fract_z
Na1 0.2500 0.2500 0.0780
Pm1 0.2500 0.2500 0.7354
Tm1 0.2500 0.7500 0.5000
# Calculated density   5.0 g cm⁻³
# DFT formation energy   0.43 eV/atom
# Crystal system   tetragonal
# M_tot   0.0 μB/f.u.

# Al2AsSe | Alexandria via LeMat-Bulk | PBE | optimized geometry
data_Al2AsSe
_cell_length_a 3.3258
_cell_length_b 5.0541
_cell_length_c 8.9471
_cell_angle_alpha 90.00
_cell_angle_beta 90.00
_cell_angle_gamma 90.00
_space_group_name_H-M_alt 'I m m m'
_space_group_IT_number 71
_space_group_name_Hall '-I 2 2'
loop_
_atom_site_label
_atom_site_fract_x
_atom_site_fract_y
_atom_site_fract_z
Al1 0.0000 0.0000 0.2420
As1 0.0000 0.5000 0.0000
Se1 0.0000 0.5000 0.5000
# Calculated density   4.6 g cm⁻³
# Formation energy without anion corrections   17 kJ per mole of atoms
# Crystal system   orthorhombic
# M_tot   0.0 μB/f.u.

# NbRe3Te | Alexandria via LeMat-Bulk | PBE | optimized geometry
data_NbRe3Te
_cell_length_a 4.7412
_cell_length_b 4.7412
_cell_length_c 4.7412
_cell_angle_alpha 90.00
_cell_angle_beta 90.00
_cell_angle_gamma 90.00
_space_group_name_H-M_alt 'P m -3 m'
_space_group_IT_number 221
_space_group_name_Hall '-P 4 2 3'
loop_
_atom_site_label
_atom_site_fract_x
_atom_site_fract_y
_atom_site_fract_z
Nb1 0.0000 0.0000 0.0000
Re1 0.0000 0.5000 0.5000
Te1 0.5000 0.5000 0.5000
# Calculated density   12.1 g cm⁻³
# Formation energy without anion corrections   230 kJ per mole of atoms
# Crystal system   cubic
# M_tot   0.0 μB/f.u.

# Tl2GeW2 | Alexandria via LeMat-Bulk | PBE | optimized geometry
data_Tl2GeW2
_cell_length_a 3.6149
_cell_length_b 3.6149
_cell_length_c 17.8050
_cell_angle_alpha 90.00
_cell_angle_beta 90.00
_cell_angle_gamma 90.00
_space_group_name_H-M_alt 'I 4/m m m'
_space_group_IT_number 139
_space_group_name_Hall '-I 4 2'
loop_
_atom_site_label
_atom_site_fract_x
_atom_site_fract_y
_atom_site_fract_z
Tl1 0.0000 0.0000 0.1083
Ge1 0.0000 0.0000 0.5000
W1 0.0000 0.5000 0.2500
# Calculated density   12.1 g cm⁻³
# DFT formation energy   0.95 eV/atom
# Crystal system   tetragonal
# M_tot   0.0 μB/f.u.

# Sc2Hg | Alexandria via LeMat-Bulk | PBE | optimized geometry
data_Sc2Hg
_cell_length_a 6.8362
_cell_length_b 6.8362
_cell_length_c 6.8362
_cell_angle_alpha 90.00
_cell_angle_beta 90.00
_cell_angle_gamma 90.00
_space_group_name_H-M_alt 'P a -3'
_space_group_IT_number 205
_space_group_name_Hall '-P 2ac 2ab 3'
loop_
_atom_site_label
_atom_site_fract_x
_atom_site_fract_y
_atom_site_fract_z
Sc1 0.1644 0.1644 0.1644
Hg1 0.0000 0.0000 0.5000
# Calculated density   6.0 g cm⁻³
# DFT formation energy   0.00 eV/atom
# Crystal system   cubic
# M_tot   0.0 μB/f.u.

# AsP2Au | Alexandria via LeMat-Bulk | PBE | optimized geometry
data_AsP2Au
_cell_length_a 4.5031
_cell_length_b 3.6386
_cell_length_c 4.6622
_cell_angle_alpha 90.00
_cell_angle_beta 106.84
_cell_angle_gamma 90.00
_space_group_name_H-M_alt 'P 1 2/m 1'
_space_group_IT_number 10
_space_group_name_Hall '-P 2y'
loop_
_atom_site_label
_atom_site_fract_x
_atom_site_fract_y
_atom_site_fract_z
As1 0.0000 0.0000 0.0000
P1 0.3025 0.5000 0.7968
Au1 0.5000 0.0000 0.5000
# Calculated density   7.6 g cm⁻³
# DFT formation energy   0.10 eV/atom
# Crystal system   monoclinic
# M_tot   0.0 μB/f.u.

# Ac3HgPd6Pb2 | Alexandria via LeMat-Bulk | PBE | optimized geometry
data_Ac3HgPd6Pb2
_cell_length_a 6.0619
_cell_length_b 6.0619
_cell_length_c 9.2026
_cell_angle_alpha 90.00
_cell_angle_beta 90.00
_cell_angle_gamma 120.00
_space_group_name_H-M_alt 'P -3 m 1'
_space_group_IT_number 164
_space_group_name_Hall '-P 3 2"'
loop_
_atom_site_label
_atom_site_fract_x
_atom_site_fract_y
_atom_site_fract_z
Ac1 0.0000 0.0000 0.0000
Ac2 0.3333 0.6667 0.6251
Hg1 0.0000 0.0000 0.5000
Pd1 0.1767 0.3535 0.2798
Pb1 0.3333 0.6667 0.0189
# Calculated density   11.0 g cm⁻³
# DFT formation energy   -0.62 eV/atom
# Crystal system   trigonal
# M_tot   0.0 μB/f.u.

# PrZnH | Alexandria via LeMat-Bulk | PBE | optimized geometry
data_PrZnH
_cell_length_a 4.0491
_cell_length_b 4.0491
_cell_length_c 4.3206
_cell_angle_alpha 90.00
_cell_angle_beta 90.00
_cell_angle_gamma 120.00
_space_group_name_H-M_alt 'P -6 m 2'
_space_group_IT_number 187
_space_group_name_Hall 'P -6 2'
loop_
_atom_site_label
_atom_site_fract_x
_atom_site_fract_y
_atom_site_fract_z
Pr1 0.0000 0.0000 0.0000
Zn1 0.3333 0.6667 0.5000
H1 0.6667 0.3333 0.0000
# Calculated density   5.6 g cm⁻³
# Crystal system   hexagonal
# M_tot   0.0 μB/f.u.
# Total energy   -0.2428 Ry per atom

# Y3PbC | Alexandria via LeMat-Bulk | PBE | optimized geometry
data_Y3PbC
_cell_length_a 4.9292
_cell_length_b 4.9292
_cell_length_c 4.9292
_cell_angle_alpha 90.00
_cell_angle_beta 90.00
_cell_angle_gamma 90.00
_space_group_name_H-M_alt 'P m -3 m'
_space_group_IT_number 221
_space_group_name_Hall '-P 4 2 3'
loop_
_atom_site_label
_atom_site_fract_x
_atom_site_fract_y
_atom_site_fract_z
Y1 0.0000 0.0000 0.5000
Pb1 0.5000 0.5000 0.5000
C1 0.0000 0.0000 0.0000
# Calculated density   6.7 g cm⁻³
# DFT formation energy   -0.57 eV/atom
# Crystal system   cubic
# M_tot   0.0 μB/f.u.

# CsNb2Hg2O7 | Alexandria via LeMat-Bulk | PBE | optimized geometry
data_CsNb2Hg2O7
_cell_length_a 6.4919
_cell_length_b 6.4919
_cell_length_c 26.2333
_cell_angle_alpha 90.00
_cell_angle_beta 90.00
_cell_angle_gamma 120.00
_space_group_name_H-M_alt 'R 3 2'
_space_group_IT_number 155
_space_group_name_Hall 'R 3 2"'
loop_
_atom_site_label
_atom_site_fract_x
_atom_site_fract_y
_atom_site_fract_z
Cs1 0.0000 0.0000 0.0000
Nb1 0.0000 0.0000 0.4260
Hg1 0.0000 0.0000 0.2710
O1 0.0000 0.0000 0.5000
O2 0.0312 0.2833 0.4016
# Calculated density   4.3 g cm⁻³
# Formation energy without anion corrections   -160 kJ per mole of atoms
# Crystal system   trigonal
# M_tot   0.0 μB/f.u.

# TaTePb2 | Alexandria via LeMat-Bulk | PBE | optimized geometry
data_TaTePb2
_cell_length_a 3.7423
_cell_length_b 5.4334
_cell_length_c 10.8682
_cell_angle_alpha 90.00
_cell_angle_beta 90.00
_cell_angle_gamma 90.00
_space_group_name_H-M_alt 'C m m 2'
_space_group_IT_number 35
_space_group_name_Hall 'C 2 -2'
loop_
_atom_site_label
_atom_site_fract_x
_atom_site_fract_y
_atom_site_fract_z
Ta1 0.0000 0.0000 0.0000
Te1 0.0000 0.5000 0.1853
Pb1 0.0000 0.0000 0.5058
Pb2 0.0000 0.5000 0.7790
# Calculated density   10.9 g cm⁻³
# Formation energy without anion corrections   26 kJ per mole of atoms
# Crystal system   orthorhombic
# M_tot   0.0 μB/f.u.

# ZrTl2Ni | Alexandria via LeMat-Bulk | PBE | optimized geometry
data_ZrTl2Ni
_cell_length_a 4.3569
_cell_length_b 4.3569
_cell_length_c 4.3058
_cell_angle_alpha 90.00
_cell_angle_beta 90.00
_cell_angle_gamma 90.00
_space_group_name_H-M_alt 'P 4/m m m'
_space_group_IT_number 123
_space_group_name_Hall '-P 4 2'
loop_
_atom_site_label
_atom_site_fract_x
_atom_site_fract_y
_atom_site_fract_z
Zr1 0.0000 0.0000 0.0000
Tl1 0.0000 0.5000 0.5000
Ni1 0.5000 0.5000 0.0000
# Calculated density   11.4 g cm⁻³
# DFT formation energy   0.13 eV/atom
# Crystal system   tetragonal
# M_tot   0.0 μB/f.u.

# SmEr2Se4 | Alexandria via LeMat-Bulk | PBE | optimized geometry
data_SmEr2Se4
_cell_length_a 3.9864
_cell_length_b 13.3699
_cell_length_c 13.7776
_cell_angle_alpha 90.00
_cell_angle_beta 90.00
_cell_angle_gamma 90.00
_space_group_name_H-M_alt 'C m c m'
_space_group_IT_number 63
_space_group_name_Hall '-C 2c 2'
loop_
_atom_site_label
_atom_site_fract_x
_atom_site_fract_y
_atom_site_fract_z
Sm1 0.0000 0.1254 0.2500
Er1 0.0000 0.3696 0.0686
Se1 0.0000 0.0000 0.0000
Se2 0.0000 0.2746 0.6198
Se3 0.0000 0.4632 0.2500
# Calculated density   7.2 g cm⁻³
# Formation energy without anion corrections   -178 kJ per mole of atoms
# Crystal system   orthorhombic
# M_tot   0.0 μB/f.u.

# NaGa2OsC | Alexandria via LeMat-Bulk | PBE | optimized geometry
data_NaGa2OsC
_cell_length_a 4.1432
_cell_length_b 4.1432
_cell_length_c 4.3853
_cell_angle_alpha 90.00
_cell_angle_beta 90.00
_cell_angle_gamma 90.00
_space_group_name_H-M_alt 'P 4/m m m'
_space_group_IT_number 123
_space_group_name_Hall '-P 4 2'
loop_
_atom_site_label
_atom_site_fract_x
_atom_site_fract_y
_atom_site_fract_z
Na1 0.0000 0.0000 0.0000
Ga1 0.0000 0.5000 0.5000
Os1 0.5000 0.5000 0.0000
C1 0.0000 0.0000 0.5000
# Calculated density   8.0 g cm⁻³
# DFT formation energy   1.26 eV/atom
# Crystal system   tetragonal
# M_tot   1.2 μB/f.u.

# Ag2HgCl2 | Alexandria via LeMat-Bulk | PBE | optimized geometry
data_Ag2HgCl2
_cell_length_a 7.8852
_cell_length_b 7.8852
_cell_length_c 3.6153
_cell_angle_alpha 90.00
_cell_angle_beta 90.00
_cell_angle_gamma 90.00
_space_group_name_H-M_alt 'P 4/m b m'
_space_group_IT_number 127
_space_group_name_Hall '-P 4 2ab'
loop_
_atom_site_label
_atom_site_fract_x
_atom_site_fract_y
_atom_site_fract_z
Ag1 0.1406 0.3594 0.0000
Hg1 0.0000 0.0000 0.0000
Cl1 0.1541 0.6541 0.5000
# Calculated density   7.2 g cm⁻³
# Formation energy without anion corrections   -23 kJ per mole of atoms
# Crystal system   tetragonal
# M_tot   0.0 μB/f.u.

# Mg8Cd6Ag | Alexandria via LeMat-Bulk | PBE | optimized geometry
data_Mg8Cd6Ag
_cell_length_a 8.3510
_cell_length_b 8.3510
_cell_length_c 17.4578
_cell_angle_alpha 90.00
_cell_angle_beta 90.00
_cell_angle_gamma 120.00
_space_group_name_H-M_alt 'R -3'
_space_group_IT_number 148
_space_group_name_Hall '-R 3'
loop_
_atom_site_label
_atom_site_fract_x
_atom_site_fract_y
_atom_site_fract_z
Mg1 0.0000 0.0000 0.1660
Mg2 0.0029 0.3294 0.6181
Cd1 0.0013 0.3328 0.4493
Ag1 0.0000 0.0000 0.5000
# Calculated density   4.6 g cm⁻³
# DFT formation energy   -0.03 eV/atom
# Crystal system   trigonal
# M_tot   0.0 μB/f.u.

# CsBaCu2Cl6 | Alexandria via LeMat-Bulk | PBE | optimized geometry
data_CsBaCu2Cl6
_cell_length_a 10.9067
_cell_length_b 14.3173
_cell_length_c 9.4821
_cell_angle_alpha 90.00
_cell_angle_beta 109.23
_cell_angle_gamma 90.00
_space_group_name_H-M_alt 'C 1 2/c 1'
_space_group_IT_number 15
_space_group_name_Hall '-C 2yc'
loop_
_atom_site_label
_atom_site_fract_x
_atom_site_fract_y
_atom_site_fract_z
Cs1 0.0000 0.1521 0.2500
Ba1 0.0000 0.4277 0.7500
Cu1 0.2410 0.1244 0.7128
Cl1 0.0690 0.3876 0.0984
Cl2 0.1686 0.2665 0.6741
Cl3 0.2001 0.0099 0.0968
# Calculated density   2.9 g cm⁻³
# Formation energy without anion corrections   -135 kJ per mole of atoms
# Crystal system   monoclinic
# M_tot   1.0 μB/f.u.